Density functional theory data (PBE) for a geometry-optimized Tm2GaAu structure.

The value obtained for the formation energy is -0.733 eV per atom. The crystal system is tetragonal. Its space group is P4/mmm (123).

a b c (Å): 3.500 3.500 7.280
angles (deg): 90.00 90.00 90.00
Fractional positions:
Ga: 0.500 0.500 0.000
Au: 0.500 0.500 0.500
Tm: 0.000 0.000 0.253
Tm: 0.000 0.000 0.747